(1)
AlCrCo2 after structural relaxation, computed with PBE.

a b c (Å): 2.6332 3.2784 5.3164
angles (deg): 90.00 90.00 90.00
Space group Pmmm (No. 47)
One atom of each set of equivalent atoms:
1 Al 0.0000 0.0000 0.0000
2 Cr 0.0000 0.0000 0.5000
3 Co 0.5000 0.5000 0.2613

calculated density = 7.12 g/cm³

---

(2)
YTm2Lu after structural relaxation, computed with PBE.

a b c (Å): 7.9167 7.9167 7.9167
angles (deg): 90.00 90.00 90.00
Space group Fm-3m (No. 225)
One atom of each set of equivalent atoms:
1 Y 0.0000 0.0000 0.0000
2 Tm 0.2500 0.2500 0.2500
3 Lu 0.0000 0.0000 0.5000

calculated density = 8.06 g/cm³

---

Energy of formation from the pure elements for every record listed, in sequence, given in eV/f.u.: -0.7; 0.6.